The following is a DFT calculation (PBE) of an optimized crystal structure of Th4Cu.

Energy relative to the elements: 0.34 eV per atom
Space group: Pm-3m, No. 221

Unit cell a=5.453 b=5.453 c=5.453 alpha=90.00 beta=90.00 gamma=90.00
Positions (direct):
1 Th 0.000 0.000 0.000
2 Th 0.500 0.000 0.500
3 Th 0.500 0.500 0.000
4 Cu 0.500 0.500 0.500
5 Th 0.000 0.500 0.500